# 1
{
  "formula": "LiHf2ZnPd",
  "functional": "PBE",
  "state": "relaxed",
  "formation_enthalpy_0k_ev_per_atom": 0.660,
  "volume_a3_per_cell": 113.7,
  "lattice": [[4.9458, 0.0000, 0.0000], [0.0000, 4.6479, 0.0000], [0.0000, 0.0000, 4.9458]],
  "species": ["Zn", "Hf", "Hf", "Pd", "Li"],
  "fractional_positions": [[0.0000, 0.0000, 0.0000], [0.0000, 0.0000, 0.5000], [0.5000, 0.0000, 0.0000], [0.0000, 0.5000, 0.0000], [0.5000, 0.5000, 0.5000]]
}

***

# 2
{
  "formula": "Sm2PuThP4",
  "functional": "PBE",
  "state": "relaxed",
  "formation_enthalpy_0k_ev_per_atom": -1.477,
  "volume_a3_per_cell": 194.1,
  "lattice": [[-3.7584, -0.6741, -1.4968], [-0.8414, -5.3764, 4.5343], [-2.2723, 6.0134, 2.9973]],
  "species": ["Sm", "Sm", "Pu", "Th", "P", "P", "P", "P"],
  "fractional_positions": [[0.5000, 0.0000, 0.5000], [0.0000, 0.5000, 0.5000], [0.0000, 0.0000, 0.0000], [0.5000, 0.5000, 0.0000], [0.5000, 0.2434, 0.2433], [0.5000, 0.7566, 0.7567], [0.0000, 0.2477, 0.7522], [0.0000, 0.7523, 0.2478]]
}

***

# 3
{
  "formula": "Te3Ir",
  "functional": "PBE",
  "state": "relaxed",
  "volume_a3_per_cell": 102.0,
  "raw_formation_energy_mev_per_atom": -64.8,
  "lattice": [[3.9934, 0.0000, 0.0000], [0.0000, 5.3403, 0.0060], [0.0000, 2.3710, 4.7860]],
  "species": ["Ir", "Te", "Te", "Te"],
  "fractional_positions": [[0.0000, 0.0000, 0.0000], [0.5000, 0.8061, 0.8060], [0.0000, 0.5000, 0.5000], [0.5000, 0.1939, 0.1940]]
}